[1]
First-principles (PBE) data for crystalline CaAcYSn at its relaxed geometry, as listed in Alexandria.

Summary:
The calculation puts the density of states at the Fermi level at 5.29 states/eV per cell. Its total energy is -17.42 eV per cell.

Structure (CIF):
```
data_CaAcYSn
_chemical_formula_sum 'Ca1 Ac1 Y1 Sn1'
_space_group_name_H-M_alt 'P 1'
_space_group_IT_number 1
_cell_length_a 5.706
_cell_length_b 5.706
_cell_length_c 5.706
_cell_angle_alpha 60.00
_cell_angle_beta 60.00
_cell_angle_gamma 60.00
loop_
_space_group_symop_operation_xyz
'x,y,z'
loop_
_atom_site_label
_atom_site_type_symbol
_atom_site_fract_x
_atom_site_fract_y
_atom_site_fract_z
_atom_site_occupancy
Ca1 Ca 0.500 0.500 0.500 1
Y1 Y 0.750 0.750 0.750 1
Sn1 Sn 0.000 0.000 0.000 1
Ac1 Ac 0.250 0.250 0.250 1
```



[2]
First-principles (PBE) data for crystalline Na4TbTm3Te8 at its relaxed geometry, as listed in Alexandria.

Summary:
For the energy relative to the elements, uncorrected, the calculation gives -1.30 eV per atom.

Structure (CIF):
```
data_Na4TbTm3Te8
_chemical_formula_sum 'Na4 Tb1 Tm3 Te8'
_space_group_name_H-M_alt 'P 1'
_space_group_IT_number 1
_cell_length_a 8.798
_cell_length_b 9.114
_cell_length_c 8.798
_cell_angle_alpha 118.89
_cell_angle_beta 120.00
_cell_angle_gamma 90.00
loop_
_space_group_symop_operation_xyz
'x,y,z'
loop_
_atom_site_label
_atom_site_type_symbol
_atom_site_fract_x
_atom_site_fract_y
_atom_site_fract_z
_atom_site_occupancy
Tm1 Tm 0.500 0.500 0.500 1
Tm2 Tm 0.500 0.500 0.000 1
Tm3 Tm 0.000 0.500 0.500 1
Te1 Te 0.755 0.270 0.509 1
Te2 Te 0.755 0.270 0.014 1
Te3 Te 0.245 0.730 0.986 1
Te4 Te 0.245 0.730 0.491 1
Te5 Te 0.743 0.729 0.486 1
Te6 Te 0.260 0.270 0.014 1
Te7 Te 0.257 0.271 0.514 1
Te8 Te 0.740 0.730 0.986 1
Na1 Na 0.000 0.000 0.000 1
Na2 Na 0.500 0.000 0.000 1
Na3 Na 0.000 0.000 0.500 1
Na4 Na 0.500 0.000 0.500 1
Tb1 Tb 0.000 0.500 0.000 1
```



[3]
First-principles (PBE) data for crystalline KBOF2 at its relaxed geometry, as listed in Alexandria.

Summary:
The calculation puts the density of states at the Fermi level at 0.00 states/eV per cell. The value obtained for the energy above the most stable polymorph in this dataset is 4.04 eV per formula unit. For the energy relative to the elements, uncorrected, the calculation gives -1.98 eV per atom.

Structure (CIF):
```
data_KBOF2
_chemical_formula_sum 'K1 B1 O1 F2'
_space_group_name_H-M_alt 'P 1'
_space_group_IT_number 1
_cell_length_a 4.399
_cell_length_b 4.399
_cell_length_c 2.730
_cell_angle_alpha 90.00
_cell_angle_beta 90.00
_cell_angle_gamma 90.00
loop_
_space_group_symop_operation_xyz
'x,y,z'
loop_
_atom_site_label
_atom_site_type_symbol
_atom_site_fract_x
_atom_site_fract_y
_atom_site_fract_z
_atom_site_occupancy
O1 O 0.000 0.000 0.500 1
B1 B 0.000 0.000 0.000 1
F1 F 0.500 0.000 0.000 1
F2 F 0.000 0.500 0.000 1
K1 K 0.500 0.500 0.500 1
```



[4]
First-principles (PBE) data for crystalline Pa2GaFeN5 at its relaxed geometry, as listed in Alexandria.

Summary:
The calculation puts the density of states at the Fermi level at 1.03 states/eV per cell. For the energy relative to the elements, uncorrected, the calculation gives -0.91 eV per atom.

Structure (CIF):
```
data_Pa2GaFeN5
_chemical_formula_sum 'Pa4 Ga2 Fe2 N10'
_space_group_name_H-M_alt 'P 1'
_space_group_IT_number 1
_cell_length_a 3.324
_cell_length_b 7.205
_cell_length_c 8.824
_cell_angle_alpha 90.00
_cell_angle_beta 90.00
_cell_angle_gamma 103.34
loop_
_space_group_symop_operation_xyz
'x,y,z'
loop_
_atom_site_label
_atom_site_type_symbol
_atom_site_fract_x
_atom_site_fract_y
_atom_site_fract_z
_atom_site_occupancy
Ga1 Ga 0.518 0.036 0.010 1
Ga2 Ga 0.482 0.964 0.510 1
N1 N 0.915 0.831 0.512 1
N2 N 0.493 0.987 0.257 1
N3 N 0.715 0.430 0.150 1
N4 N 0.507 0.013 0.757 1
N5 N 0.711 0.423 0.868 1
N6 N 0.085 0.169 0.012 1
N7 N 0.289 0.577 0.368 1
N8 N 0.285 0.570 0.650 1
N9 N 0.373 0.746 0.994 1
N10 N 0.627 0.254 0.494 1
Pa1 Pa 0.865 0.730 0.790 1
Pa2 Pa 0.130 0.259 0.732 1
Pa3 Pa 0.870 0.741 0.232 1
Pa4 Pa 0.135 0.270 0.290 1
Fe1 Fe 0.773 0.547 0.511 1
Fe2 Fe 0.227 0.453 0.011 1
```